Record 1
# SrPmSi2

A geometry-optimized SrPmSi2 structure (PBE, Alexandria via LeMat-Bulk).

```
SrPmSi2
1.0
-2.061 -2.537 -3.157
-2.218 -1.689 2.806
-2.877 5.280 0.905
Si Sr Pm
2 1 1
direct
0.012 0.000 0.563
0.145 0.500 0.830
0.728 0.000 0.995
0.446 0.500 0.430
```

Output
**Uncorrected formation energy**: -0.567 eV/atom
**Magnetization**: 0.001 μB/f.u.
**Space-group type**: Amm2, No. 38
**Total DFT energy (no corrections)**: -4.8868 eV per atom
**Theoretical density**: 4.73 g cm⁻³


Record 2
# CeMg6Fe

A geometry-optimized CeMg6Fe structure (PBE, Alexandria via LeMat-Bulk).

```
CeMg6Fe
1.0
-6.537 -0.473 1.358
3.556 -4.783 -3.048
1.035 -1.968 4.296
Mg Ce Fe
6 1 1
direct
0.682 0.318 0.000
0.841 0.159 0.500
0.178 0.333 0.000
0.320 0.192 0.500
0.667 0.822 0.000
0.808 0.680 0.500
0.290 0.710 0.500
0.215 0.785 0.000
```

Output
**E_form**: 172 meV/atom
**Magnetization**: 0.933 μB/f.u.
**Space-group type**: Amm2, No. 38
**Total DFT energy (no corrections)**: -2.8238 eV per atom
**Theoretical density**: 3.16 g cm⁻³


no.,energy relative to the lowest polymorph listed for this composition (meV/atom)
1,0.0
2,2.2